The following is a DFT calculation (PBE) of a geometry-optimized PmTmSc2 structure.

- Volume: 28.15 Å³ per atom
- Size of the total moment: 0.001 Bohr magnetons per cell
- DOS at the Fermi energy: 1.267 states/eV per atom
- Relative energy among the computed polymorphs: 3.32 kJ/mol of atoms
- Formation energy: 0.08 eV per atom

Cell lengths 7.6658, 7.6658, 7.6658 Å; angles 90.00, 90.00, 90.00 degrees
Closest atoms and distances in Å follow each position.
Space group Fm-3m (No. 225)
One atom of each set of equivalent atoms:
Pm  0.0000  0.0000  0.0000  8 Sc 3.32
Tm  0.0000  0.0000  0.5000  8 Sc 3.32
Sc  0.2500  0.2500  0.2500  4 Pm 3.32, 4 Tm 3.32